An optimized crystal structure of Dy7Ge2Pt2. Source: Alexandria via LeMat-Bulk, functional PBE.

Structure (POSCAR):
```
Dy7Ge2Pt2
1.0
4.212 -5.284 0.000
4.212 5.284 0.000
0.000 0.000 6.887
Dy Ge Pt
7 2 2
direct
0.000 0.000 0.000
0.000 0.500 0.261
0.000 0.500 0.739
0.500 0.000 0.261
0.500 0.000 0.739
0.500 0.500 0.251
0.500 0.500 0.749
0.201 0.201 0.500
0.799 0.799 0.500
0.281 0.719 0.000
0.719 0.281 0.000
```

Values from the calculation:
Final energy in eV per atom: -5.462
Space group: No. 65

An optimized crystal structure of HfZnCd2Sn. Source: Alexandria via LeMat-Bulk, functional PBE.

Structure (POSCAR):
```
HfZnCd2Sn
1.0
4.847 0.000 0.000
0.000 4.847 0.000
0.000 0.000 5.227
Hf Zn Cd Sn
1 1 2 1
direct
0.000 0.000 0.000
0.000 0.000 0.500
0.000 0.500 0.500
0.500 0.000 0.500
0.500 0.500 0.000
```

Values from the calculation:
Final energy in eV per atom: -3.024
Space group: No. 123

An optimized crystal structure of TmScZnCd. Source: Alexandria via LeMat-Bulk, functional PBE.

Structure (POSCAR):
```
TmScZnCd
1.0
3.465 0.000 0.000
0.000 3.465 0.000
0.000 0.000 7.297
Tm Sc Zn Cd
1 1 1 1
direct
0.000 0.000 0.000
0.000 0.000 0.459
0.500 0.500 0.247
0.500 0.500 0.714
```

Values from the calculation:
Space group: No. 99
E above lowest polymorph in eV/atom: 0.000

An optimized crystal structure of Ca6NdSe8. Source: Alexandria via LeMat-Bulk, functional PBE.

Structure (POSCAR):
```
Ca6NdSe8
1.0
0.000 5.965 5.965
5.965 0.000 5.965
5.965 5.965 0.000
Ca Nd Se
6 1 8
direct
0.000 0.000 0.500
0.000 0.500 0.000
0.000 0.500 0.500
0.500 0.000 0.000
0.500 0.000 0.500
0.500 0.500 0.000
0.000 0.000 0.000
0.247 0.247 0.753
0.247 0.753 0.247
0.247 0.753 0.753
0.250 0.250 0.250
0.750 0.750 0.750
0.753 0.247 0.247
0.753 0.247 0.753
0.753 0.753 0.247
```

Values from the calculation:
Final energy in eV per atom: -4.839
Space group: No. 225